Material: HfCoB4
Method: DFT, PBE
State: relaxed

Results
Its crystal system is orthorhombic. Its energy is -46.143 eV/cell. Its distance to the lowest polymorph of the same formula is 236 meV/atom.

Cell lengths 4.526, 4.526, 4.526 Å; angles 140.21, 109.77, 83.88 degrees
Positions (direct):
B1 0.582 0.254 0.327
B2 0.073 0.746 0.327
B3 0.927 0.254 0.673
Co1 0.500 0.500 0.000
Hf1 0.000 0.000 0.000
B4 0.418 0.746 0.673

---

Material: Hf3Co
Method: DFT, PBE
State: relaxed

Results
Its crystal system is cubic. Its energy is -36.391 eV/cell. The formation energy is 0.15 eV/atom.

Cell lengths 4.719, 4.719, 4.719 Å; angles 60.00, 60.00, 60.00 degrees
Positions (direct):
Hf1 0.500 0.500 0.500
Hf2 0.000 0.000 0.000
Co1 0.750 0.750 0.750
Hf3 0.250 0.250 0.250

---

Material: MgAu
Method: DFT, PBE
State: relaxed

Results
Its crystal system is orthorhombic. Its energy is -11.398 eV/cell.

Cell lengths 4.646, 3.212, 4.936 Å; angles 90.00, 90.00, 90.00 degrees
Positions (direct):
Mg1 0.032 0.000 0.000
Mg2 0.801 0.500 0.500
Au1 0.290 0.000 0.500
Au2 0.543 0.500 0.000